Here is a relaxed Cu3BAu crystal from Alexandria via LeMat-Bulk. Energies are from PBE.

Calculated values
space group = No. 221
excess energy over the best structure of this formula in the dataset = 1.451 eV per atom
magnetic moment = 0.00 μB per cell
crystal system = cubic
total energy = -2.79 eV/atom
energy of formation from the pure elements = 1663 meV/atom

abc: 4.764 4.764 4.764
angles: 90.00 90.00 90.00
Sites, in units of the cell vectors:
Cu1 0.000 0.000 0.500
Cu2 0.000 0.500 0.000
Cu3 0.500 0.000 0.000
B1 0.500 0.500 0.500
Au1 0.000 0.000 0.000

Here is a relaxed CuB3Au crystal from Alexandria via LeMat-Bulk. Energies are from PBE.

Calculated values
space group = No. 221
excess energy over the best structure of this formula in the dataset = 0.000 eV per atom
magnetic moment = 0.00 μB per cell
crystal system = cubic
total energy = -3.89 eV/atom
energy of formation from the pure elements = 1589 meV/atom

abc: 3.930 3.930 3.930
angles: 90.00 90.00 90.00
Sites, in units of the cell vectors:
Cu1 0.000 0.000 0.000
B1 0.000 0.000 0.500
B2 0.000 0.500 0.000
B3 0.500 0.000 0.000
Au1 0.500 0.500 0.500

Here is a relaxed CuB3Au crystal from Alexandria via LeMat-Bulk. Energies are from PBE.

Calculated values
space group = No. 221
excess energy over the best structure of this formula in the dataset = 0.325 eV per atom
magnetic moment = 0.00 μB per cell
crystal system = cubic
total energy = -3.57 eV/atom
energy of formation from the pure elements = 1914 meV/atom

abc: 4.181 4.181 4.181
angles: 90.00 90.00 90.00
Sites, in units of the cell vectors:
Cu1 0.000 0.000 0.000
B1 0.000 0.500 0.500
B2 0.500 0.000 0.500
B3 0.500 0.500 0.000
Au1 0.500 0.500 0.500

Here is a relaxed Cu2BAu crystal from Alexandria via LeMat-Bulk. Energies are from PBE.

Calculated values
space group = No. 122
magnetic moment = 0.00 μB per cell
crystal system = tetragonal
total energy = -3.83 eV/atom
energy of formation from the pure elements = 709 meV/atom

abc: 7.393 7.393 7.393
angles: 146.57 146.57 48.01
Sites, in units of the cell vectors:
Cu1 0.375 0.235 0.360
Cu2 0.765 0.125 0.140
Cu3 0.875 0.015 0.640
Cu4 0.985 0.625 0.860
B1 0.000 0.000 0.000
B2 0.750 0.250 0.500
Au1 0.250 0.750 0.500
Au2 0.500 0.500 0.000

Here is a relaxed Cu2BAu2 crystal from Alexandria via LeMat-Bulk. Energies are from PBE.

Calculated values
space group = No. 127
magnetic moment = 0.00 μB per cell
crystal system = tetragonal
total energy = -3.89 eV/atom
energy of formation from the pure elements = 393 meV/atom

abc: 5.545 5.545 4.577
angles: 90.00 90.00 90.00
Sites, in units of the cell vectors:
Cu1 0.166 0.334 0.000
Cu2 0.334 0.834 0.000
Cu3 0.666 0.166 0.000
Cu4 0.834 0.666 0.000
B1 0.000 0.000 0.000
B2 0.500 0.500 0.000
Au1 0.174 0.674 0.500
Au2 0.326 0.174 0.500
Au3 0.674 0.826 0.500
Au4 0.826 0.326 0.500

Here is a relaxed CuBAuF2 crystal from Alexandria via LeMat-Bulk. Energies are from PBE.

Calculated values
space group = No. 123
magnetic moment = 0.16 μB per cell
crystal system = tetragonal
total energy = -3.67 eV/atom

abc: 3.589 3.589 5.680
angles: 90.00 90.00 90.00
Sites, in units of the cell vectors:
Cu1 0.000 0.000 0.000
B1 0.000 0.000 0.500
Au1 0.500 0.500 0.500
F1 0.000 0.500 0.000
F2 0.500 0.000 0.000

> Which of these has the highest total energy?

Cu3BAu

> Number 3 is which compound?

CuB3Au

> magnetic moment of number 2 (CuB3Au)?

0.00 μB per cell